! PBE Nb2FeC, relaxed; values from VASP
&SYSTEM
  ibrav = 0, nat = 12, ntyp = 3
/
ATOMIC_SPECIES
Nb 92.91 Nb.upf
Fe 55.84 Fe.upf
C 12.01 C.upf
CELL_PARAMETERS angstrom
3.102 0.000 0.000
-1.551 2.687 0.000
0.000 0.000 20.028
ATOMIC_POSITIONS crystal
Nb 0.000 0.000 0.230
Nb 0.000 0.000 0.770
Nb 0.333 0.667 0.437
Nb 0.333 0.667 0.897
Nb 0.667 0.333 0.103
Nb 0.667 0.333 0.563
Fe 0.000 0.000 0.000
Fe 0.333 0.667 0.667
Fe 0.667 0.333 0.333
C 0.000 0.000 0.500
C 0.333 0.667 0.167
C 0.667 0.333 0.833
! * ΔE_f: -0.16 eV per atom
! * symmetry: R-3m
! * magnetization: 5.6 μB/cell